Tl9Bi2Pb | Alexandria via LeMat-Bulk | PBE | optimized geometry; total energy = -32.927 eV/cell; ρ = 10.9 g/cm³; density of states at the Fermi level = 5.72 states/eV per cell; E_form = -0.0133 eV per atom
1.0
-3.8504 0.0324 3.1663
-0.2865 -4.9681 -0.2976
9.5563 -1.2482 11.6339
Tl Pb Bi
9 1 2
direct
0.5000 0.5000 0.3355
0.5000 0.0000 0.1682
0.5000 0.0000 0.8318
0.5000 0.5000 0.0000
0.0000 0.5000 0.1682
0.0000 0.5000 0.5000
0.5000 0.5000 0.6645
0.5000 0.0000 0.5000
0.0000 0.5000 0.8318
0.0000 0.0000 0.0000
0.0000 0.0000 0.3316
0.0000 0.0000 0.6684